(1)
Here is a geometry-optimized CaAl2Co structure from Alexandria via LeMat-Bulk. Energies are from PBE-GGA.

ρ, g/cm³: 2.59
Final energy, eV/atom: -4.049
Total magnetization, μB per formula unit: 0.00

The structure in CIF format:
```
data_CaAl2Co
_chemical_formula_sum 'Ca4 Al8 Co4'
_cell_length_a 5.126
_cell_length_b 5.126
_cell_length_c 14.950
_cell_angle_alpha 90.00
_cell_angle_beta 90.00
_cell_angle_gamma 90.00
_symmetry_space_group_name_H-M 'I 41/a m d'
_symmetry_Int_Tables_number 141
loop_
_symmetry_equiv_pos_as_xyz
'x,y,z'
'-x,-y,-z'
'-y+1/4,x+3/4,z+1/4'
'y+1/4,-x+3/4,-z+1/4'
'-x+1/2,-y,z+1/2'
'x+1/2,y,-z+1/2'
'y+1/4,-x+1/4,z+3/4'
'-y+1/4,x+1/4,-z+3/4'
'x,-y,-z'
'-x,y,z'
'-y+1/4,-x+1/4,-z+3/4'
'y+1/4,x+1/4,z+3/4'
'-x+1/2,y,-z+1/2'
'x+1/2,-y,z+1/2'
'y+1/4,x+3/4,-z+1/4'
'-y+1/4,-x+3/4,z+1/4'
'x+1/2,y+1/2,z+1/2'
'-x+1/2,-y+1/2,-z+1/2'
'-y+3/4,x+1/4,z+3/4'
'y+3/4,-x+1/4,-z+3/4'
'-x,-y+1/2,z'
'x,y+1/2,-z'
'y+3/4,-x+3/4,z+1/4'
'-y+3/4,x+3/4,-z+1/4'
'x+1/2,-y+1/2,-z+1/2'
'-x+1/2,y+1/2,z+1/2'
'-y+3/4,-x+3/4,-z+1/4'
'y+3/4,x+3/4,z+1/4'
'-x,y+1/2,-z'
'x,-y+1/2,z'
'y+3/4,x+1/4,-z+3/4'
'-y+3/4,-x+1/4,z+3/4'
loop_
_atom_site_label
_atom_site_type_symbol
_atom_site_fract_x
_atom_site_fract_y
_atom_site_fract_z
_atom_site_occupancy
Ca1 Ca 0.000 0.250 0.375 1
Al1 Al 0.000 0.000 0.000 1
Co1 Co 0.000 0.250 0.875 1
```



(2)
Here is a geometry-optimized CaAlCo2 structure from Alexandria via LeMat-Bulk. Energies are from PBE-GGA.

ρ, g/cm³: 4.67
Final energy, eV/atom: -4.959
Total magnetization, μB per formula unit: 2.90

The structure in CIF format:
```
data_CaAlCo2
_chemical_formula_sum 'Ca1 Al1 Co2'
_cell_length_a 3.048
_cell_length_b 3.048
_cell_length_c 7.083
_cell_angle_alpha 90.00
_cell_angle_beta 90.00
_cell_angle_gamma 90.00
_symmetry_space_group_name_H-M 'P 4 m m'
_symmetry_Int_Tables_number 99
loop_
_symmetry_equiv_pos_as_xyz
'x,y,z'
'-y,x,z'
'-x,-y,z'
'y,-x,z'
'-x,y,z'
'y,x,z'
'x,-y,z'
'-y,-x,z'
loop_
_atom_site_label
_atom_site_type_symbol
_atom_site_fract_x
_atom_site_fract_y
_atom_site_fract_z
_atom_site_occupancy
Ca1 Ca 0.000 0.000 0.000 1
Al1 Al 0.500 0.500 0.659 1
Co1 Co 0.000 0.000 0.453 1
Co2 Co 0.500 0.500 0.302 1
```



(3)
Here is a geometry-optimized Ca3AlCo structure from Alexandria via LeMat-Bulk. Energies are from PBE-GGA.

ρ, g/cm³: 2.32
Final energy, eV/atom: -3.114
Total magnetization, μB per formula unit: 0.00
ΔE to the lowest computed polymorph, eV per atom: 0.000

The structure in CIF format:
```
data_Ca3AlCo
_chemical_formula_sum 'Ca3 Al1 Co1'
_cell_length_a 5.287
_cell_length_b 5.287
_cell_length_c 5.287
_cell_angle_alpha 90.00
_cell_angle_beta 90.00
_cell_angle_gamma 90.00
_symmetry_space_group_name_H-M 'P m -3 m'
_symmetry_Int_Tables_number 221
_symmetry_space_group_name_Hall '-P 4 2 3'
loop_
_atom_site_label
_atom_site_type_symbol
_atom_site_fract_x
_atom_site_fract_y
_atom_site_fract_z
_atom_site_occupancy
Ca1 Ca 0.000 0.000 0.500 1
Al1 Al 0.500 0.500 0.500 1
Co1 Co 0.000 0.000 0.000 1
```



(4)
Here is a geometry-optimized Ca4AlCo structure from Alexandria via LeMat-Bulk. Energies are from PBE-GGA.

ρ, g/cm³: 2.26
Final energy, eV/atom: -2.326
Total magnetization, μB per formula unit: 0.88

The structure in CIF format:
```
data_Ca4AlCo
_chemical_formula_sum 'Ca16 Al4 Co4'
_cell_length_a 8.980
_cell_length_b 8.980
_cell_length_c 8.980
_cell_angle_alpha 90.00
_cell_angle_beta 90.00
_cell_angle_gamma 90.00
_symmetry_space_group_name_H-M 'F -4 3 m'
_symmetry_Int_Tables_number 216
_symmetry_space_group_name_Hall 'F -4 2 3'
loop_
_atom_site_label
_atom_site_type_symbol
_atom_site_fract_x
_atom_site_fract_y
_atom_site_fract_z
_atom_site_occupancy
Ca1 Ca 0.125 0.125 0.125 1
Al1 Al 0.000 0.000 0.500 1
Co1 Co 0.250 0.250 0.750 1
```



(5)
Here is a geometry-optimized CaAl3Co structure from Alexandria via LeMat-Bulk. Energies are from PBE-GGA.

ρ, g/cm³: 3.17
Final energy, eV/atom: -4.369
Total magnetization, μB per formula unit: 0.00
ΔE to the lowest computed polymorph, eV per atom: 0.000

The structure in CIF format:
```
data_CaAl3Co
_chemical_formula_sum 'Ca1 Al3 Co1'
_cell_length_a 4.550
_cell_length_b 4.550
_cell_length_c 4.550
_cell_angle_alpha 90.00
_cell_angle_beta 90.00
_cell_angle_gamma 90.00
_symmetry_space_group_name_H-M 'P m -3 m'
_symmetry_Int_Tables_number 221
_symmetry_space_group_name_Hall '-P 4 2 3'
loop_
_atom_site_label
_atom_site_type_symbol
_atom_site_fract_x
_atom_site_fract_y
_atom_site_fract_z
_atom_site_occupancy
Ca1 Ca 0.000 0.000 0.000 1
Al1 Al 0.000 0.500 0.500 1
Co1 Co 0.500 0.500 0.500 1
```



(6)
Here is a geometry-optimized CaAlCo2 structure from Alexandria via LeMat-Bulk. Energies are from PBE-GGA.

ρ, g/cm³: 4.92
Final energy, eV/atom: -4.961
Total magnetization, μB per formula unit: 1.26

The structure in CIF format:
```
data_CaAlCo2
_chemical_formula_sum 'Ca1 Al1 Co2'
_cell_length_a 2.983
_cell_length_b 3.258
_cell_length_c 6.421
_cell_angle_alpha 90.00
_cell_angle_beta 90.00
_cell_angle_gamma 90.00
_symmetry_space_group_name_H-M 'P m m m'
_symmetry_Int_Tables_number 47
loop_
_symmetry_equiv_pos_as_xyz
'x,y,z'
'-x,-y,-z'
'-x,-y,z'
'x,y,-z'
'x,-y,-z'
'-x,y,z'
'-x,y,-z'
'x,-y,z'
loop_
_atom_site_label
_atom_site_type_symbol
_atom_site_fract_x
_atom_site_fract_y
_atom_site_fract_z
_atom_site_occupancy
Ca1 Ca 0.000 0.000 0.000 1
Al1 Al 0.000 0.000 0.500 1
Co1 Co 0.500 0.500 0.312 1
```



(7)
Here is a geometry-optimized CaAlCo3 structure from Alexandria via LeMat-Bulk. Energies are from PBE-GGA.

ρ, g/cm³: 4.66
Final energy, eV/atom: -3.679
Total magnetization, μB per formula unit: 2.71
ΔE to the lowest computed polymorph, eV per atom: 1.182

The structure in CIF format:
```
data_CaAlCo3
_chemical_formula_sum 'Ca1 Al1 Co3'
_cell_length_a 4.430
_cell_length_b 4.430
_cell_length_c 4.430
_cell_angle_alpha 90.00
_cell_angle_beta 90.00
_cell_angle_gamma 90.00
_symmetry_space_group_name_H-M 'P m -3 m'
_symmetry_Int_Tables_number 221
_symmetry_space_group_name_Hall '-P 4 2 3'
loop_
_atom_site_label
_atom_site_type_symbol
_atom_site_fract_x
_atom_site_fract_y
_atom_site_fract_z
_atom_site_occupancy
Ca1 Ca 0.000 0.000 0.000 1
Al1 Al 0.500 0.500 0.500 1
Co1 Co 0.000 0.000 0.500 1
```



(8)
Here is a geometry-optimized CaAl2Co structure from Alexandria via LeMat-Bulk. Energies are from PBE-GGA.

ρ, g/cm³: 3.20
Final energy, eV/atom: -4.445
Total magnetization, μB per formula unit: 0.00

The structure in CIF format:
```
data_CaAl2Co
_chemical_formula_sum 'Ca3 Al6 Co3'
_cell_length_a 4.1413
_cell_length_b 4.1413
_cell_length_c 16.0281
_cell_angle_alpha 90.00
_cell_angle_beta 90.00
_cell_angle_gamma 120.00
_symmetry_space_group_name_H-M 'R -3 m'
_symmetry_Int_Tables_number 166
_symmetry_space_group_name_Hall '-R 3 2"'
loop_
_atom_site_label
_atom_site_type_symbol
_atom_site_fract_x
_atom_site_fract_y
_atom_site_fract_z
_atom_site_occupancy
Ca1 Ca 0.0000 0.0000 0.0000 1
Al1 Al 0.0000 0.0000 0.1994 1
Co1 Co 0.0000 0.0000 0.5000 1
```



> ρ of number 7 (CaAlCo3)?

4.66 g/cm³